Arrangement i

Entry from Alexandria via LeMat-Bulk: a relaxed structure of HfWOF2 (PBE+U).

a b c (Å): 4.3722 4.3722 4.0431
angles (deg): 90.00 90.00 90.00
Atoms (fractional coordinates):
Hf  0.0000  0.0000  0.0000
W  0.5000  0.5000  0.5000
O  0.0000  0.0000  0.5000
F  0.0000  0.5000  0.0000
F  0.5000  0.0000  0.0000

The density of states at the Fermi level comes out at 0.21 states/eV per atom. The space group is P4/mmm. The total moment comes out at 5.7 μB per formula unit.

Arrangement ii

Entry from Alexandria via LeMat-Bulk: a relaxed structure of HfWOF2 (PBE+U).

a b c (Å): 4.3105 4.3105 4.2493
angles (deg): 90.00 90.00 90.00
Atoms (fractional coordinates):
Hf  0.0000  0.0000  0.0000
W  0.5000  0.5000  0.5000
O  0.5000  0.5000  0.0000
F  0.0000  0.5000  0.5000
F  0.5000  0.0000  0.5000

The density of states at the Fermi level comes out at 0.61 states/eV per atom. The space group is P4/mmm. The total moment comes out at 5.0 μB per formula unit.

Looking at the structures above, which would you pick as the most stable? I would pick arrangement i.